Entry 1:
Computed, not measured: a relaxed structure of Sr2AuF at the PBE level of DFT.

a b c (Å): 5.329 5.329 5.329
angles (deg): 60.00 60.00 60.00
Sites, in units of the cell vectors:
F1 0.000 0.000 0.000
Au1 0.500 0.500 0.500
Sr1 0.750 0.750 0.750
Sr2 0.250 0.250 0.250

Properties
As for the total energy: -0.1296 hartree per atom. The uncorrected formation energy is -1.40 eV per atom. Its excess energy over the best structure of this formula in the dataset is 1.23 eV/f.u. Its symmetry is Fm-3m, No. 225. The total magnetization comes out at 0.000 μB/f.u.

Entry 2:
Computed, not measured: a relaxed structure of La5CdHg6 at the PBE level of DFT.

a b c (Å): 5.506 7.807 8.442
angles (deg): 90.00 70.97 90.00
Sites, in units of the cell vectors:
Hg1 0.840 0.772 0.320
Hg2 0.160 0.228 0.680
Hg3 0.840 0.228 0.320
Hg4 0.500 0.722 0.000
Hg5 0.500 0.278 0.000
Hg6 0.160 0.772 0.680
Cd1 0.000 0.000 0.000
La1 0.313 0.500 0.374
La2 0.000 0.500 0.000
La3 0.687 0.500 0.626
La4 0.652 0.000 0.697
La5 0.348 0.000 0.303

Properties
As for the total energy: -0.1012 hartree per atom. Its symmetry is Cmmm, No. 65. The value obtained for the formation energy from the elements is -0.474 eV/atom. The total magnetization comes out at 0.000 μB/f.u.

Entry 3:
Computed, not measured: a relaxed structure of La2PtICl at the PBE level of DFT.

a b c (Å): 4.942 4.942 7.585
angles (deg): 90.00 90.00 120.00
Sites, in units of the cell vectors:
La1 0.333 0.667 0.279
La2 0.667 0.333 0.712
I1 0.000 0.000 0.985
Cl1 0.333 0.667 0.670
Pt1 0.667 0.333 0.355

Properties
As for the total energy: -0.1901 hartree per atom. The uncorrected formation energy is -1.31 eV per atom. Its excess energy over the best structure of this formula in the dataset is 0.00 eV/f.u. Its symmetry is P3m1, No. 156. The total magnetization comes out at 0.000 μB/f.u.

Entry 4:
Computed, not measured: a relaxed structure of BeGa2SnAu at the PBE level of DFT.

a b c (Å): 5.372 4.482 5.372
angles (deg): 90.00 90.00 90.00
Sites, in units of the cell vectors:
Ga1 0.500 0.000 0.000
Ga2 0.000 0.000 0.500
Be1 0.000 0.500 0.000
Sn1 0.000 0.000 0.000
Au1 0.500 0.500 0.500

Properties
As for the total energy: -0.0988 hartree per atom. Its symmetry is P4/mmm, No. 123. The value obtained for the formation energy from the elements is 0.722 eV/atom. The total magnetization comes out at 0.000 μB/f.u.

Entry 5:
Computed, not measured: a relaxed structure of Hg2Rh2S at the PBE level of DFT.

a b c (Å): 6.267 6.267 4.608
angles (deg): 90.00 90.00 90.00
Sites, in units of the cell vectors:
Hg1 0.840 0.340 0.500
Hg2 0.660 0.840 0.500
Hg3 0.160 0.660 0.500
Hg4 0.340 0.160 0.500
Rh1 0.836 0.664 0.000
Rh2 0.164 0.336 0.000
Rh3 0.336 0.836 0.000
Rh4 0.664 0.164 0.000
S1 0.000 0.000 0.000
S2 0.500 0.500 0.000

Properties
As for the total energy: -0.1404 hartree per atom. The uncorrected formation energy is 0.07 eV per atom. Its excess energy over the best structure of this formula in the dataset is 0.00 eV/f.u. Its symmetry is P4/mbm, No. 127. The total magnetization comes out at 0.000 μB/f.u.

Entry 6:
Computed, not measured: a relaxed structure of BaY3In at the PBE level of DFT.

a b c (Å): 5.703 5.703 5.703
angles (deg): 90.00 90.00 90.00
Sites, in units of the cell vectors:
Y1 0.000 0.000 0.500
Y2 0.000 0.500 0.000
Y3 0.500 0.000 0.000
Ba1 0.000 0.000 0.000
In1 0.500 0.500 0.500

Properties
As for the total energy: -0.1399 hartree per atom. Its excess energy over the best structure of this formula in the dataset is 3.99 eV/f.u. Its symmetry is Pm-3m, No. 221. The value obtained for the formation energy from the elements is 1.005 eV/atom. The total magnetization comes out at 0.000 μB/f.u.